Record 1
Ho4HfHg5 | Alexandria via LeMat-Bulk | PBE-GGA | optimized geometry; electronic total energy = -33.4 eV per cell; calculated volume = 24.5 Å³ per atom; size of the total moment = 0.68 Bohr magnetons per cell; space group = P4/mmm, No. 123
1.0
3.666 0.000 0.000
0.000 3.666 0.000
0.000 0.000 18.240
Ho Hf Hg
4 1 5
direct
0.000 0.000 0.603
0.000 0.000 0.192
0.000 0.000 0.397
0.000 0.000 0.808
0.000 0.000 0.000
0.500 0.500 0.500
0.500 0.500 0.706
0.500 0.500 0.090
0.500 0.500 0.294
0.500 0.500 0.910

Record 2
Sm2Er7Tc2 | Alexandria via LeMat-Bulk | PBE-GGA | optimized geometry; electronic total energy = -61.4 eV per cell; calculated volume = 28.8 Å³ per atom; size of the total moment = 0.00 Bohr magnetons per cell; space group = Imm2, No. 44
1.0
3.488 0.000 0.565
0.819 8.986 5.993
0.042 1.038 10.783
Er Tc Sm
7 2 2
direct
0.500 0.041 0.959
0.864 0.020 0.252
0.419 0.676 0.485
0.113 0.162 0.613
0.136 0.748 0.980
0.887 0.387 0.838
0.581 0.515 0.324
0.500 0.344 0.656
0.000 0.799 0.201
0.756 0.825 0.663
0.244 0.337 0.175

Record 3
BaZr2TiIn | Alexandria via LeMat-Bulk | PBE-GGA | optimized geometry; electronic total energy = -24.9 eV per cell; calculated volume = 31.8 Å³ per atom; size of the total moment = 0.00 Bohr magnetons per cell; space group = P4/mmm, No. 123
1.0
-4.525 -2.644 1.751
2.019 -0.276 4.799
-2.341 4.843 1.263
Zr In Ba Ti
2 1 1 1
direct
0.500 0.000 0.000
0.000 0.000 0.500
0.000 0.000 0.000
0.500 0.500 0.500
0.000 0.500 0.000

Record 4
MnSi2Pb | Alexandria via LeMat-Bulk | PBE-GGA | optimized geometry; electronic total energy = -21.4 eV per cell; calculated volume = 19.3 Å³ per atom; size of the total moment = 3.65 Bohr magnetons per cell; space group = Fmmm, No. 69
1.0
-2.308 -3.302 4.163
1.805 -2.256 -2.600
2.724 -0.867 2.634
Pb Si Mn
1 2 1
direct
0.500 0.000 0.500
0.000 0.500 0.500
0.000 0.000 0.000
0.500 0.500 0.000

Question: Among the records above, which one has the highest size of the total moment?
Answer: MnSi2Pb

Question: The lowest electronic total energy belongs to which entry?
Answer: Sm2Er7Tc2

Please write out number 3 again, unchanged.
BaZr2TiIn | Alexandria via LeMat-Bulk | PBE-GGA | optimized geometry; electronic total energy = -24.9 eV per cell; calculated volume = 31.8 Å³ per atom; size of the total moment = 0.00 Bohr magnetons per cell; space group = P4/mmm, No. 123
1.0
-4.525 -2.644 1.751
2.019 -0.276 4.799
-2.341 4.843 1.263
Zr In Ba Ti
2 1 1 1
direct
0.500 0.000 0.000
0.000 0.000 0.500
0.000 0.000 0.000
0.500 0.500 0.500
0.000 0.500 0.000